[1]
# GGA-PBE Lu3Ga8Rh3, relaxed
data_Lu3Ga8Rh3
_cell_length_a 8.1318
_cell_length_b 8.1318
_cell_length_c 8.1318
_cell_angle_alpha 150.48
_cell_angle_beta 106.48
_cell_angle_gamma 81.15
_symmetry_space_group_name_H-M 'P 1'
_symmetry_Int_Tables_number 1
loop_
_symmetry_equiv_pos_as_xyz
'x,y,z'
loop_
_atom_site_label
_atom_site_type_symbol
_atom_site_fract_x
_atom_site_fract_y
_atom_site_fract_z
Ga1 Ga 0.1970 0.8266 0.3703
Ga2 Ga 0.9065 0.6229 0.2836
Ga3 Ga 0.3394 0.6229 0.7164
Ga4 Ga 0.4563 0.8266 0.6297
Ga5 Ga 0.6606 0.3771 0.2836
Ga6 Ga 0.8030 0.1734 0.6297
Ga7 Ga 0.5437 0.1734 0.3703
Ga8 Ga 0.0935 0.3771 0.7164
Lu1 Lu 0.1653 0.1653 0.0000
Lu2 Lu 0.5000 0.5000 0.0000
Lu3 Lu 0.8347 0.8347 0.0000
Rh1 Rh 0.0000 0.5000 0.5000
Rh2 Rh 0.2281 0.0000 0.2281
Rh3 Rh 0.7719 0.0000 0.7719
# volume	17.79	A^3/atom
# energy of formation	-0.6855	eV/atom
# DOS at the Fermi energy	6.76	states/eV/cell

[2]
# GGA-PBE LuGaRh, relaxed
data_LuGaRh
_cell_length_a 4.4494
_cell_length_b 4.4494
_cell_length_c 4.4494
_cell_angle_alpha 60.00
_cell_angle_beta 60.00
_cell_angle_gamma 60.00
_symmetry_space_group_name_H-M 'P 1'
_symmetry_Int_Tables_number 1
loop_
_symmetry_equiv_pos_as_xyz
'x,y,z'
loop_
_atom_site_label
_atom_site_type_symbol
_atom_site_fract_x
_atom_site_fract_y
_atom_site_fract_z
Rh1 Rh 0.2500 0.2500 0.2500
Lu1 Lu 0.0000 0.0000 0.0000
Ga1 Ga 0.5000 0.5000 0.5000
# volume	20.76	A^3/atom
# energy of formation	-0.7175	eV/atom
# DOS at the Fermi energy	0.80	states/eV/cell

[3]
# GGA-PBE LuGaRh, relaxed
data_LuGaRh
_cell_length_a 3.3332
_cell_length_b 3.3332
_cell_length_c 5.4353
_cell_angle_alpha 107.86
_cell_angle_beta 107.86
_cell_angle_gamma 90.00
_symmetry_space_group_name_H-M 'P 1'
_symmetry_Int_Tables_number 1
loop_
_symmetry_equiv_pos_as_xyz
'x,y,z'
loop_
_atom_site_label
_atom_site_type_symbol
_atom_site_fract_x
_atom_site_fract_y
_atom_site_fract_z
Lu1 Lu 0.6098 0.6098 0.2197
Rh1 Rh 0.9320 0.9320 0.8639
Ga1 Ga 0.3082 0.3082 0.6164
# volume	18.14	A^3/atom
# energy of formation	-0.7466	eV/atom
# DOS at the Fermi energy	1.54	states/eV/cell

[4]
# GGA-PBE LuGaRuRh, relaxed
data_LuGaRuRh
_cell_length_a 4.5014
_cell_length_b 4.5014
_cell_length_c 4.5014
_cell_angle_alpha 60.00
_cell_angle_beta 60.00
_cell_angle_gamma 60.00
_symmetry_space_group_name_H-M 'P 1'
_symmetry_Int_Tables_number 1
loop_
_symmetry_equiv_pos_as_xyz
'x,y,z'
loop_
_atom_site_label
_atom_site_type_symbol
_atom_site_fract_x
_atom_site_fract_y
_atom_site_fract_z
Lu1 Lu 0.5000 0.5000 0.5000
Ru1 Ru 0.7500 0.7500 0.7500
Ga1 Ga 0.0000 0.0000 0.0000
Rh1 Rh 0.2500 0.2500 0.2500
# volume	16.12	A^3/atom
# energy of formation	-0.6421	eV/atom
# DOS at the Fermi energy	3.09	states/eV/cell

[5]
# GGA-PBE LuScGaRh, relaxed
data_LuScGaRh
_cell_length_a 4.7645
_cell_length_b 4.7645
_cell_length_c 4.7645
_cell_angle_alpha 60.00
_cell_angle_beta 60.00
_cell_angle_gamma 60.00
_symmetry_space_group_name_H-M 'P 1'
_symmetry_Int_Tables_number 1
loop_
_symmetry_equiv_pos_as_xyz
'x,y,z'
loop_
_atom_site_label
_atom_site_type_symbol
_atom_site_fract_x
_atom_site_fract_y
_atom_site_fract_z
Lu1 Lu 0.0000 0.0000 0.0000
Sc1 Sc 0.5000 0.5000 0.5000
Rh1 Rh 0.7500 0.7500 0.7500
Ga1 Ga 0.2500 0.2500 0.2500
# volume	19.12	A^3/atom
# energy of formation	-0.7489	eV/atom
# DOS at the Fermi energy	2.04	states/eV/cell

[6]
# GGA-PBE TbLuGaRh, relaxed
data_TbLuGaRh
_cell_length_a 4.9215
_cell_length_b 4.9215
_cell_length_c 4.9215
_cell_angle_alpha 60.00
_cell_angle_beta 60.00
_cell_angle_gamma 60.00
_symmetry_space_group_name_H-M 'P 1'
_symmetry_Int_Tables_number 1
loop_
_symmetry_equiv_pos_as_xyz
'x,y,z'
loop_
_atom_site_label
_atom_site_type_symbol
_atom_site_fract_x
_atom_site_fract_y
_atom_site_fract_z
Ga1 Ga 0.5000 0.5000 0.5000
Rh1 Rh 0.0000 0.0000 0.0000
Tb1 Tb 0.7500 0.7500 0.7500
Lu1 Lu 0.2500 0.2500 0.2500
# volume	21.07	A^3/atom
# energy of formation	-0.7047	eV/atom
# DOS at the Fermi energy	1.84	states/eV/cell

[7]
# GGA-PBE LuTiGaRh, relaxed
data_LuTiGaRh
_cell_length_a 4.6569
_cell_length_b 4.6569
_cell_length_c 4.6569
_cell_angle_alpha 60.00
_cell_angle_beta 60.00
_cell_angle_gamma 60.00
_symmetry_space_group_name_H-M 'P 1'
_symmetry_Int_Tables_number 1
loop_
_symmetry_equiv_pos_as_xyz
'x,y,z'
loop_
_atom_site_label
_atom_site_type_symbol
_atom_site_fract_x
_atom_site_fract_y
_atom_site_fract_z
Ti1 Ti 0.2500 0.2500 0.2500
Rh1 Rh 0.0000 0.0000 0.0000
Lu1 Lu 0.7500 0.7500 0.7500
Ga1 Ga 0.5000 0.5000 0.5000
# volume	17.85	A^3/atom
# energy of formation	-0.5386	eV/atom
# DOS at the Fermi energy	3.53	states/eV/cell

[8]
# GGA-PBE TmLuGaRh, relaxed
data_TmLuGaRh
_cell_length_a 4.8742
_cell_length_b 4.8742
_cell_length_c 4.8742
_cell_angle_alpha 60.00
_cell_angle_beta 60.00
_cell_angle_gamma 60.00
_symmetry_space_group_name_H-M 'P 1'
_symmetry_Int_Tables_number 1
loop_
_symmetry_equiv_pos_as_xyz
'x,y,z'
loop_
_atom_site_label
_atom_site_type_symbol
_atom_site_fract_x
_atom_site_fract_y
_atom_site_fract_z
Ga1 Ga 0.7500 0.7500 0.7500
Rh1 Rh 0.2500 0.2500 0.2500
Tm1 Tm 0.5000 0.5000 0.5000
Lu1 Lu 0.0000 0.0000 0.0000
# volume	20.47	A^3/atom
# energy of formation	-0.7418	eV/atom
# DOS at the Fermi energy	1.48	states/eV/cell

[9]
# GGA-PBE LuZnGaRh, relaxed
data_LuZnGaRh
_cell_length_a 4.5475
_cell_length_b 4.5475
_cell_length_c 4.5475
_cell_angle_alpha 60.00
_cell_angle_beta 60.00
_cell_angle_gamma 60.00
_symmetry_space_group_name_H-M 'P 1'
_symmetry_Int_Tables_number 1
loop_
_symmetry_equiv_pos_as_xyz
'x,y,z'
loop_
_atom_site_label
_atom_site_type_symbol
_atom_site_fract_x
_atom_site_fract_y
_atom_site_fract_z
Ga1 Ga 0.0000 0.0000 0.0000
Lu1 Lu 0.7500 0.7500 0.7500
Zn1 Zn 0.5000 0.5000 0.5000
Rh1 Rh 0.2500 0.2500 0.2500
# volume	16.62	A^3/atom
# energy of formation	-0.5557	eV/atom
# DOS at the Fermi energy	3.02	states/eV/cell

[10]
# GGA-PBE LuZrGaRh, relaxed
data_LuZrGaRh
_cell_length_a 4.7877
_cell_length_b 4.7877
_cell_length_c 4.7877
_cell_angle_alpha 60.00
_cell_angle_beta 60.00
_cell_angle_gamma 60.00
_symmetry_space_group_name_H-M 'P 1'
_symmetry_Int_Tables_number 1
loop_
_symmetry_equiv_pos_as_xyz
'x,y,z'
loop_
_atom_site_label
_atom_site_type_symbol
_atom_site_fract_x
_atom_site_fract_y
_atom_site_fract_z
Zr1 Zr 0.5000 0.5000 0.5000
Ga1 Ga 0.2500 0.2500 0.2500
Rh1 Rh 0.7500 0.7500 0.7500
Lu1 Lu 0.0000 0.0000 0.0000
# volume	19.40	A^3/atom
# energy of formation	-0.6205	eV/atom
# DOS at the Fermi energy	2.89	states/eV/cell

[11]
# GGA-PBE Lu2GaRu, relaxed
data_Lu2GaRu
_cell_length_a 4.8252
_cell_length_b 4.8252
_cell_length_c 4.8252
_cell_angle_alpha 60.00
_cell_angle_beta 60.00
_cell_angle_gamma 60.00
_symmetry_space_group_name_H-M 'P 1'
_symmetry_Int_Tables_number 1
loop_
_symmetry_equiv_pos_as_xyz
'x,y,z'
loop_
_atom_site_label
_atom_site_type_symbol
_atom_site_fract_x
_atom_site_fract_y
_atom_site_fract_z
Lu1 Lu 0.5000 0.5000 0.5000
Lu2 Lu 0.0000 0.0000 0.0000
Ga1 Ga 0.2500 0.2500 0.2500
Ru1 Ru 0.7500 0.7500 0.7500
# volume	19.86	A^3/atom
# energy of formation	-0.5250	eV/atom
# DOS at the Fermi energy	2.30	states/eV/cell

[12]
# GGA-PBE LuGa2Ru, relaxed
data_LuGa2Ru
_cell_length_a 4.2203
_cell_length_b 4.2203
_cell_length_c 5.3345
_cell_angle_alpha 66.70
_cell_angle_beta 66.70
_cell_angle_gamma 60.00
_symmetry_space_group_name_H-M 'P 1'
_symmetry_Int_Tables_number 1
loop_
_symmetry_equiv_pos_as_xyz
'x,y,z'
loop_
_atom_site_label
_atom_site_type_symbol
_atom_site_fract_x
_atom_site_fract_y
_atom_site_fract_z
Lu1 Lu 0.0000 0.0000 0.0000
Ru1 Ru 0.5000 0.5000 0.5000
Ga1 Ga 0.7807 0.7807 0.6578
Ga2 Ga 0.2193 0.2193 0.3422
# volume	18.30	A^3/atom
# energy of formation	-0.4714	eV/atom
# DOS at the Fermi energy	1.75	states/eV/cell

[13]
# GGA-PBE LuGa2Ru, relaxed
data_LuGa2Ru
_cell_length_a 4.3930
_cell_length_b 3.9663
_cell_length_c 3.9663
_cell_angle_alpha 90.00
_cell_angle_beta 90.00
_cell_angle_gamma 90.00
_symmetry_space_group_name_H-M 'P 1'
_symmetry_Int_Tables_number 1
loop_
_symmetry_equiv_pos_as_xyz
'x,y,z'
loop_
_atom_site_label
_atom_site_type_symbol
_atom_site_fract_x
_atom_site_fract_y
_atom_site_fract_z
Ga1 Ga 0.0000 0.5000 0.0000
Ga2 Ga 0.0000 0.0000 0.5000
Ru1 Ru 0.5000 0.5000 0.5000
Lu1 Lu 0.5000 0.0000 0.0000
# volume	17.28	A^3/atom
# energy of formation	-0.3476	eV/atom
# DOS at the Fermi energy	3.31	states/eV/cell